## Sc6Sn2O (PBE)

Data for a geometry-optimized Sc6Sn2O structure.

Unit cell a=6.3455 b=6.3455 c=5.1722 alpha=90.00 beta=90.00 gamma=120.00
Element x y z (fractional)
Sc: 0.1670 0.3341 0.2456
Sc: 0.1670 0.8330 0.2456
Sc: 0.3341 0.1670 0.7544
Sc: 0.6659 0.8330 0.2456
Sc: 0.8330 0.1670 0.7544
Sc: 0.8330 0.6659 0.7544
Sn: 0.3333 0.6667 0.7436
Sn: 0.6667 0.3333 0.2564
O: 0.0000 0.0000 0.0000

Calculated values
crystal system = trigonal
energy = -6.7243 eV per atom
polymorph energy (0 for the lowest one) = 0.000 eV per atom
formation energy without anion corrections = -103 kJ/mol of atoms
symmetry = No. 164

***

## ScSnO2 (PBE)

Data for a geometry-optimized ScSnO2 structure.

Unit cell a=6.2028 b=6.2028 c=6.2028 alpha=127.89 beta=127.89 gamma=76.81
Element x y z (fractional)
Sc: 0.0000 0.0000 0.0000
Sc: 0.7500 0.2500 0.5000
Sn: 0.2500 0.7500 0.5000
Sn: 0.5000 0.5000 0.0000
O: 0.0252 0.6250 0.9002
O: 0.3750 0.2752 0.4002
O: 0.7248 0.1250 0.0998
O: 0.8750 0.9748 0.5998

Calculated values
crystal system = tetragonal
energy = -7.1081 eV per atom
formation energy without anion corrections = -197 kJ/mol of atoms
symmetry = No. 122

***

## Sc12Sn3O5 (PBE)

Data for a geometry-optimized Sc12Sn3O5 structure.

Unit cell a=12.5850 b=12.5850 c=12.5850 alpha=109.47 beta=109.47 gamma=109.47
Element x y z (fractional)
Sc: 0.0050 0.1929 0.1044
Sc: 0.0050 0.3122 0.9006
Sc: 0.0884 0.6929 0.6878
Sc: 0.0884 0.8956 0.4006
Sc: 0.0994 0.6044 0.4116
Sc: 0.0994 0.9950 0.6878
Sc: 0.1044 0.0050 0.1929
Sc: 0.1044 0.5994 0.9116
Sc: 0.1878 0.1929 0.5884
Sc: 0.1878 0.4950 0.5994
Sc: 0.1929 0.1044 0.0050
Sc: 0.1929 0.5884 0.1878
Sc: 0.3071 0.3122 0.9116
Sc: 0.3071 0.4950 0.3956
Sc: 0.3122 0.9006 0.0050
Sc: 0.3122 0.9116 0.3071
Sc: 0.3956 0.3071 0.4950
Sc: 0.3956 0.5884 0.9006
Sc: 0.4006 0.0884 0.8956
Sc: 0.4006 0.8122 0.5050
Sc: 0.4116 0.0994 0.6044
Sc: 0.4116 0.8122 0.8071
Sc: 0.4950 0.3956 0.3071
Sc: 0.4950 0.5994 0.1878
Sc: 0.5050 0.4006 0.8122
Sc: 0.5050 0.6044 0.6929
Sc: 0.5884 0.1878 0.1929
Sc: 0.5884 0.9006 0.3956
Sc: 0.5994 0.1878 0.4950
Sc: 0.5994 0.9116 0.1044
Sc: 0.6044 0.4116 0.0994
Sc: 0.6044 0.6929 0.5050
Sc: 0.6878 0.0884 0.6929
Sc: 0.6878 0.0994 0.9950
Sc: 0.6929 0.5050 0.6044
Sc: 0.6929 0.6878 0.0884
Sc: 0.8071 0.4116 0.8122
Sc: 0.8071 0.8956 0.9950
Sc: 0.8122 0.5050 0.4006
Sc: 0.8122 0.8071 0.4116
Sc: 0.8956 0.4006 0.0884
Sc: 0.8956 0.9950 0.8071
Sc: 0.9006 0.0050 0.3122
Sc: 0.9006 0.3956 0.5884
Sc: 0.9116 0.1044 0.5994
Sc: 0.9116 0.3071 0.3122
Sc: 0.9950 0.6878 0.0994
Sc: 0.9950 0.8071 0.8956
Sn: 0.1250 0.2500 0.3750
Sn: 0.1250 0.3750 0.7500
Sn: 0.2500 0.3750 0.1250
Sn: 0.2500 0.8750 0.6250
Sn: 0.3750 0.1250 0.2500
Sn: 0.3750 0.7500 0.1250
Sn: 0.6250 0.2500 0.8750
Sn: 0.6250 0.8750 0.7500
Sn: 0.7500 0.1250 0.3750
Sn: 0.7500 0.6250 0.8750
Sn: 0.8750 0.6250 0.2500
Sn: 0.8750 0.7500 0.6250
O: 0.0000 0.0000 0.0000
O: 0.0000 0.0000 0.5000
O: 0.0000 0.5000 0.0000
O: 0.0000 0.5000 0.5000
O: 0.1250 0.7500 0.8750
O: 0.1250 0.8750 0.2500
O: 0.2500 0.1250 0.8750
O: 0.2500 0.6250 0.3750
O: 0.3750 0.2500 0.6250
O: 0.3750 0.6250 0.7500
O: 0.5000 0.0000 0.0000
O: 0.5000 0.0000 0.5000
O: 0.5000 0.5000 0.0000
O: 0.5000 0.5000 0.5000
O: 0.6250 0.3750 0.2500
O: 0.6250 0.7500 0.3750
O: 0.7500 0.3750 0.6250
O: 0.7500 0.8750 0.1250
O: 0.8750 0.1250 0.7500
O: 0.8750 0.2500 0.1250

Calculated values
crystal system = cubic
energy = -7.2655 eV per atom
formation energy without anion corrections = -157 kJ/mol of atoms
symmetry = No. 230

***

## ScSnO2 (PBE)

Data for a geometry-optimized ScSnO2 structure.

Unit cell a=6.9694 b=6.9694 c=6.9694 alpha=26.58 beta=26.58 gamma=26.58
Element x y z (fractional)
Sc: 0.0000 0.0000 0.0000
Sn: 0.5000 0.5000 0.5000
O: 0.3856 0.3856 0.3856
O: 0.6144 0.6144 0.6144

Calculated values
crystal system = trigonal
energy = -7.5119 eV per atom
formation energy without anion corrections = -236 kJ/mol of atoms
symmetry = No. 166

***

## Sc4Sn2O (PBE)

Data for a geometry-optimized Sc4Sn2O structure.

Unit cell a=8.3123 b=8.3123 c=8.3123 alpha=149.96 beta=149.96 gamma=43.00
Element x y z (fractional)
Sc: 0.0000 0.5000 0.5000
Sc: 0.1642 0.1642 0.0000
Sc: 0.5000 0.0000 0.5000
Sc: 0.8358 0.8358 0.0000
Sn: 0.3571 0.3571 0.0000
Sn: 0.6429 0.6429 0.0000
O: 0.0000 0.0000 0.0000

Calculated values
crystal system = tetragonal
energy = -6.7678 eV per atom
polymorph energy (0 for the lowest one) = 0.000 eV per atom
formation energy without anion corrections = -125 kJ/mol of atoms
symmetry = No. 139

***

## Sc3SnO2 (PBE)

Data for a geometry-optimized Sc3SnO2 structure.

Unit cell a=3.1777 b=10.1855 c=5.8333 alpha=90.00 beta=90.00 gamma=90.00
Element x y z (fractional)
Sc: 0.0000 0.1005 0.0000
Sc: 0.0000 0.8995 0.5000
Sc: 0.5000 0.1579 0.4997
Sc: 0.5000 0.3846 0.8159
Sc: 0.5000 0.6153 0.3159
Sc: 0.5000 0.8421 0.9997
Sn: 0.0000 0.3649 0.2567
Sn: 0.0000 0.6351 0.7567
O: 0.0000 0.2452 0.7326
O: 0.0000 0.7548 0.2326
O: 0.5000 0.0025 0.2453
O: 0.5000 0.9975 0.7453

Calculated values
crystal system = orthorhombic
energy = -7.4989 eV per atom
formation energy without anion corrections = -194 kJ/mol of atoms
symmetry = No. 26

***

## SrSc2SnO (PBE)

Data for a geometry-optimized SrSc2SnO structure.

Unit cell a=4.5598 b=4.5598 c=5.0267 alpha=90.00 beta=90.00 gamma=90.00
Element x y z (fractional)
Sr: 0.0000 0.0000 0.0000
Sc: 0.0000 0.5000 0.5000
Sc: 0.5000 0.0000 0.5000
Sn: 0.5000 0.5000 0.0000
O: 0.0000 0.0000 0.5000

Calculated values
crystal system = tetragonal
energy = -5.9809 eV per atom
formation energy without anion corrections = -127 kJ/mol of atoms
symmetry = No. 123

***

## ScTaSnO6 (PBE)

Data for a geometry-optimized ScTaSnO6 structure.

Unit cell a=4.8247 b=4.8247 c=9.5406 alpha=90.00 beta=90.00 gamma=90.00
Element x y z (fractional)
Sc: 0.0000 0.0000 0.0000
Sc: 0.5000 0.5000 0.5000
Ta: 0.0000 0.0000 0.3322
Ta: 0.5000 0.5000 0.8322
Sn: 0.0000 0.0000 0.6684
Sn: 0.5000 0.5000 0.1684
O: 0.1899 0.1899 0.4958
O: 0.1934 0.1934 0.1777
O: 0.2036 0.2036 0.8319
O: 0.2964 0.7036 0.3319
O: 0.3066 0.6934 0.6777
O: 0.3101 0.6899 0.9958
O: 0.6899 0.3101 0.9958
O: 0.6934 0.3066 0.6777
O: 0.7036 0.2964 0.3319
O: 0.7964 0.7964 0.8319
O: 0.8066 0.8066 0.1777
O: 0.8101 0.8101 0.4958

Calculated values
crystal system = tetragonal
energy = -8.4116 eV per atom
formation energy without anion corrections = -255 kJ/mol of atoms
symmetry = No. 102

***

## ScSn2TeO (PBE)

Data for a geometry-optimized ScSn2TeO structure.

Unit cell a=5.8457 b=5.8457 c=3.9075 alpha=90.00 beta=90.00 gamma=90.00
Element x y z (fractional)
Sc: 0.0000 0.0000 0.0000
Sn: 0.0000 0.5000 0.0000
Sn: 0.5000 0.0000 0.0000
Te: 0.5000 0.5000 0.5000
O: 0.0000 0.0000 0.5000

Calculated values
crystal system = tetragonal
energy = -5.1358 eV per atom
formation energy without anion corrections = -63 kJ/mol of atoms
symmetry = No. 123

***

## ScSnTeO6 (PBE)

Data for a geometry-optimized ScSnTeO6 structure.

Unit cell a=5.3531 b=5.3531 c=9.1126 alpha=90.00 beta=90.00 gamma=120.00
Element x y z (fractional)
Sc: 0.3333 0.6667 0.2500
Sc: 0.6667 0.3333 0.7500
Sn: 0.0000 0.0000 0.0000
Sn: 0.0000 0.0000 0.5000
Te: 0.3333 0.6667 0.7500
Te: 0.6667 0.3333 0.2500
O: 0.0095 0.3410 0.6287
O: 0.0095 0.6685 0.8713
O: 0.3315 0.3410 0.8713
O: 0.3315 0.9905 0.6287
O: 0.3410 0.0095 0.1287
O: 0.3410 0.3315 0.3713
O: 0.6590 0.6685 0.6287
O: 0.6590 0.9905 0.8713
O: 0.6685 0.0095 0.3713
O: 0.6685 0.6590 0.1287
O: 0.9905 0.3315 0.1287
O: 0.9905 0.6590 0.3713

Calculated values
crystal system = trigonal
energy = -6.5553 eV per atom
formation energy without anion corrections = -169 kJ/mol of atoms
symmetry = No. 163

***

## Sc2TiSnO (PBE)

Data for a geometry-optimized Sc2TiSnO structure.

Unit cell a=4.5451 b=4.5451 c=4.0848 alpha=90.00 beta=90.00 gamma=90.00
Element x y z (fractional)
Sc: 0.0000 0.5000 0.0000
Sc: 0.5000 0.0000 0.0000
Ti: 0.0000 0.0000 0.5000
Sn: 0.5000 0.5000 0.5000
O: 0.0000 0.0000 0.0000

Calculated values
crystal system = tetragonal
energy = -7.2854 eV per atom
formation energy without anion corrections = -133 kJ/mol of atoms
symmetry = No. 123

***

## ScTi2SnO (PBE)

Data for a geometry-optimized ScTi2SnO structure.

Unit cell a=4.6006 b=4.6006 c=5.3167 alpha=90.00 beta=90.00 gamma=90.00
Element x y z (fractional)
Sc: 0.0000 0.0000 0.0000
Ti: 0.0000 0.5000 0.0000
Ti: 0.5000 0.0000 0.0000
Sn: 0.0000 0.0000 0.5000
O: 0.5000 0.5000 0.5000

Calculated values
crystal system = tetragonal
energy = -4.9315 eV per atom
polymorph energy (0 for the lowest one) = 2.547 eV per atom
formation energy without anion corrections = 124 kJ/mol of atoms
symmetry = No. 123